[1]
K3AlTl (PBE, relaxed); energy relative to the lowest polymorph listed for this composition = 0.00 eV per formula unit; spin magnetization = 0.63 μB/f.u.; ΔH_f (0 K) = 423.6 meV per atom; space-group type = Pm-3m, No. 221; total energy = -7.283 eV/f.u.
1.0
-5.3461 -3.8947 -0.4654
2.6785 -3.0501 -5.2430
2.8655 -4.4152 4.0325
Tl K Al
1 3 1
Cartesian
0.0990 -5.6801 -0.8379
1.3392 -1.5251 -2.6215
1.4328 -2.2076 2.0163
-2.6731 -1.9474 -0.2327
0.0000 0.0000 0.0000

***

[2]
KAl2Tl (PBE, relaxed); energy relative to the lowest polymorph listed for this composition = 0.00 eV per formula unit; spin magnetization = 0.00 μB/f.u.; ΔH_f (0 K) = 122.4 meV per atom; space-group type = Pm, No. 6; total energy = -10.459 eV/f.u.
1.0
-0.9291 0.4803 -4.0526
1.7499 -2.6531 -0.7156
-5.3594 -6.3849 0.4720
Tl K Al
1 1 2
Cartesian
-3.3508 -7.0318 -2.2264
-1.6722 -4.4909 -0.1489
1.2920 -2.6752 -0.6133
-0.8623 -1.5319 -2.1451

***

[3]
K2AlTl (PBE, relaxed); energy relative to the lowest polymorph listed for this composition = 0.90 eV per formula unit; spin magnetization = 0.00 μB/f.u.; ΔH_f (0 K) = 308.3 meV per atom; space-group type = R-3m, No. 166; total energy = -7.071 eV/f.u.
1.0
12.2367 0.0325 0.0191
11.6758 3.6622 0.0191
11.6758 1.8040 3.1871
Tl K Al
1 2 1
Cartesian
8.8971 1.3747 0.8063
0.0936 0.0145 0.0085
17.7005 2.7349 1.6041
26.6912 4.1240 2.4189